[1]
The following is a DFT calculation (PBE-GGA) of an optimized crystal structure of LiMn2Tc.

Cell: 5.819 5.819 5.819 Å, 90.00 90.00 90.00°
Space group F-43m (No. 216)
Inequivalent atoms, fractional coordinates:
Li (0.000, 0.000, 0.000)
Mn (0.000, 0.000, 0.500)
Mn (0.250, 0.250, 0.250)
Tc (0.250, 0.250, 0.750)

The calculation puts the formation energy from the elements at 0.226 eV/atom. Its calculated volume is 49 Å³/f.u. The spin magnetization is 0.491 μB per atom.

---

[2]
The following is a DFT calculation (PBE-GGA) of an optimized crystal structure of LiMnTc2.

Cell: 2.961 4.181 8.324 Å, 90.00 90.00 90.00°
Space group Imm2 (No. 44)
Inequivalent atoms, fractional coordinates:
Li (0.000, 0.000, 0.000)
Mn (0.000, 0.500, 0.753)
Tc (0.000, 0.000, 0.484)
Tc (0.000, 0.500, 0.235)

The calculation puts the formation energy from the elements at 0.250 eV/atom. Its calculated volume is 52 Å³/f.u. The spin magnetization is 0.002 μB per atom. As for the relative energy among the computed polymorphs: 0.236 eV per formula unit.